The following is a DFT calculation (GGA-PBE) of a relaxed Rb3Ge2As2 crystal.

a b c (Å): 4.0944 5.6903 10.8115
angles (deg): 105.26 100.92 90.00
Atoms (fractional coordinates):
1 Rb 0.0000 0.0000 0.0000
2 Rb 0.6840 0.1840 0.3680
3 Rb 0.3160 0.8160 0.6320
4 Ge 0.5630 0.5630 0.1259
5 Ge 0.4370 0.4370 0.8741
6 As 0.1377 0.6377 0.2754
7 As 0.8623 0.3623 0.7246

## Properties
energy relative to the elements	-0.249	eV/atom
calculated density	3.8	g cm⁻³
raw total energy	-3.31	eV per atom
crystal system	orthorhombic

---

The following is a DFT calculation (GGA-PBE) of a relaxed AgPb2Cl crystal.

a b c (Å): 8.9657 8.9657 8.9657
angles (deg): 24.64 24.64 24.64
Atoms (fractional coordinates):
1 Pb 0.9956 0.9956 0.9956
2 Pb 0.5044 0.5044 0.5044
3 Ag 0.2500 0.2500 0.2500
4 Cl 0.7500 0.7500 0.7500

## Properties
calculated density	8.4	g cm⁻³
energy relative to the elements, uncorrected	-0.21	eV/atom
raw total energy	-3.24	eV per atom
crystal system	trigonal

---

The following is a DFT calculation (GGA-PBE) of a relaxed EuTiCd4 crystal.

a b c (Å): 5.8558 5.8558 5.8558
angles (deg): 60.00 60.00 60.00
Atoms (fractional coordinates):
1 Eu 0.2500 0.2500 0.2500
2 Ti 0.0000 0.0000 0.0000
3 Cd 0.6256 0.6256 0.1233
4 Cd 0.6256 0.1233 0.6256
5 Cd 0.6256 0.6256 0.6256
6 Cd 0.1233 0.6256 0.6256

## Properties
energy relative to the elements	-0.013	eV/atom
calculated density	7.6	g cm⁻³
raw total energy	-3.65	eV per atom
crystal system	cubic

---

The following is a DFT calculation (GGA-PBE) of a relaxed La2NiRuC crystal.

a b c (Å): 5.2543 5.2543 3.8680
angles (deg): 90.00 90.00 90.00
Atoms (fractional coordinates):
1 Ru 0.0000 0.0000 0.5000
2 C 0.0000 0.0000 0.0000
3 Ni 0.5000 0.5000 0.5000
4 La 0.0000 0.5000 0.0000
5 La 0.5000 0.0000 0.0000

## Properties
energy relative to the elements	-0.133	eV/atom
calculated density	7.0	g cm⁻³
raw total energy	-6.96	eV per atom
E above lowest polymorph	0.000	kcal/mol of atoms
crystal system	tetragonal

---

The following is a DFT calculation (GGA-PBE) of a relaxed Tl2Pd5S crystal.

a b c (Å): 5.6543 6.1836 5.7416
angles (deg): 115.79 111.95 102.43
Atoms (fractional coordinates):
1 Tl 0.2285 0.7286 0.4563
2 Tl 0.7629 0.2626 0.5263
3 Pd 0.7099 0.2128 0.9942
4 Pd 0.2646 0.3182 0.9767
5 Pd 0.7135 0.6600 0.9790
6 Pd 0.2838 0.7812 0.9933
7 Pd 0.7683 0.7674 0.5370
8 S 0.0456 0.0461 0.0912

## Properties
calculated density	10.8	g cm⁻³
energy relative to the elements, uncorrected	-0.17	eV/atom
raw total energy	-4.52	eV per atom
crystal system	triclinic

---

The following is a DFT calculation (GGA-PBE) of a relaxed Tb8Ho2Sc crystal.

a b c (Å): 6.3740 9.2408 9.2408
angles (deg): 42.50 71.87 71.87
Atoms (fractional coordinates):
1 Tb 0.3008 0.3372 0.8632
2 Tb 0.6992 0.1368 0.6628
3 Tb 0.3179 0.7967 0.7967
4 Tb 0.6821 0.2033 0.2033
5 Tb 0.3008 0.8632 0.3372
6 Tb 0.6992 0.6628 0.1368
7 Tb 0.7530 0.5624 0.5624
8 Tb 0.2470 0.4376 0.4376
9 Ho 0.8881 0.7212 0.7212
10 Ho 0.1119 0.2788 0.2788
11 Sc 0.0000 0.0000 0.0000

## Properties
energy relative to the elements	0.204	eV/atom
calculated density	7.9	g cm⁻³
raw total energy	-4.57	eV per atom
E above lowest polymorph	0.393	kcal/mol of atoms
crystal system	monoclinic